[1]
The following is a DFT calculation (GGA-PBE) of Sm5Ru2 after structural relaxation.

The total energy is -6.29 eV per atom. The space-group type is C2/c, No. 15.

```
Sm5Ru2
1.0
8.105 -3.258 0.000
8.105 3.258 0.000
-0.904 0.000 7.292
Sm Ru
10 4
direct
0.077 0.923 0.750
0.140 0.293 0.313
0.293 0.140 0.813
0.296 0.518 0.087
0.482 0.704 0.413
0.518 0.296 0.587
0.704 0.482 0.913
0.707 0.860 0.187
0.860 0.707 0.687
0.923 0.077 0.250
0.102 0.675 0.425
0.325 0.898 0.075
0.675 0.102 0.925
0.898 0.325 0.575
```

=====

[2]
The following is a DFT calculation (GGA-PBE) of Zn2OsPt after structural relaxation.

The total energy is -4.94 eV per atom. The space-group type is P2/m, No. 10.

```
Zn2OsPt
1.0
2.693 0.000 0.000
0.000 4.357 0.000
-0.163 0.000 5.007
Zn Os Pt
2 1 1
direct
0.193 0.000 0.241
0.807 0.000 0.759
0.500 0.500 0.000
0.000 0.500 0.500
```

=====

[3]
The following is a DFT calculation (GGA-PBE) of CaCu4As after structural relaxation.

The total energy is -3.98 eV per atom. The space-group type is F-43m, No. 216.

```
CaCu4As
1.0
0.000 3.603 3.603
3.603 0.000 3.603
3.603 3.603 0.000
Ca Cu As
1 4 1
direct
0.000 0.000 0.000
0.125 0.625 0.625
0.625 0.125 0.625
0.625 0.625 0.125
0.625 0.625 0.625
0.250 0.250 0.250
```

=====

[4]
The following is a DFT calculation (GGA-PBE) of CeScGe after structural relaxation.

The total energy is -6.27 eV per atom. The space-group type is I4/mmm, No. 139.

```
CeScGe
1.0
-2.021 2.021 8.130
2.021 -2.021 8.130
2.021 2.021 -8.130
Ce Sc Ge
2 2 2
direct
0.000 0.500 0.500
0.500 0.000 0.500
0.181 0.181 0.000
0.819 0.819 0.000
0.353 0.353 0.000
0.647 0.647 0.000
```

=====

[5]
The following is a DFT calculation (GGA-PBE) of La2Ho2Al after structural relaxation.

The total energy is -4.20 eV per atom. The space-group type is R-3m, No. 166.

```
La2Ho2Al
1.0
2.461 1.421 8.592
-2.461 1.421 8.592
0.000 -2.842 8.592
La Ho Al
2 2 1
direct
0.066 0.066 0.066
0.934 0.934 0.934
0.201 0.201 0.201
0.799 0.799 0.799
0.500 0.500 0.500
```

=====

[6]
The following is a DFT calculation (GGA-PBE) of KHg3W after structural relaxation.

As for the energy above the most stable polymorph in this dataset: 0 meV/atom. The total energy is -2.41 eV per atom. The space-group type is Pm-3m, No. 221.

```
KHg3W
1.0
5.429 0.000 0.000
0.000 5.429 0.000
0.000 0.000 5.429
K Hg W
1 3 1
direct
0.000 0.000 0.000
0.000 0.500 0.500
0.500 0.000 0.500
0.500 0.500 0.000
0.500 0.500 0.500
```

=====

[7]
The following is a DFT calculation (GGA-PBE) of FeNi6Sb after structural relaxation.

As for the energy above the most stable polymorph in this dataset: 0 meV/atom. The total energy is -6.01 eV per atom. The space-group type is P4/mmm, No. 123.

```
FeNi6Sb
1.0
3.657 0.000 0.000
0.000 3.657 0.000
0.000 0.000 7.224
Fe Ni Sb
1 6 1
direct
0.000 0.000 0.000
0.000 0.500 0.235
0.000 0.500 0.765
0.500 0.000 0.235
0.500 0.000 0.765
0.500 0.500 0.000
0.500 0.500 0.500
0.000 0.000 0.500
```

=====

[8]
The following is a DFT calculation (GGA-PBE) of AcMgHg2 after structural relaxation.

As for the energy above the most stable polymorph in this dataset: 0 meV/atom. The total energy is -2.02 eV per atom. The space-group type is Fm-3m, No. 225.

```
AcMgHg2
1.0
0.000 3.815 3.815
3.815 0.000 3.815
3.815 3.815 0.000
Ac Mg Hg
1 1 2
direct
0.000 0.000 0.000
0.500 0.500 0.500
0.250 0.250 0.250
0.750 0.750 0.750
```

=====

Copy entry 8 word for word.
The following is a DFT calculation (GGA-PBE) of AcMgHg2 after structural relaxation.

As for the energy above the most stable polymorph in this dataset: 0 meV/atom. The total energy is -2.02 eV per atom. The space-group type is Fm-3m, No. 225.

```
AcMgHg2
1.0
0.000 3.815 3.815
3.815 0.000 3.815
3.815 3.815 0.000
Ac Mg Hg
1 1 2
direct
0.000 0.000 0.000
0.500 0.500 0.500
0.250 0.250 0.250
0.750 0.750 0.750
```